No. 1
First-principles (GGA-PBEsol) data for an optimized crystal structure of AlPbSe2, as listed in Alexandria.

## Properties
D(E_F): 1.30 states/eV/f.u.
Final energy: -4.0857 eV per atom
Uncorrected formation energy: -138 meV per atom

Unit cell a=5.0040 b=5.0040 c=3.5447 alpha=90.00 beta=90.00 gamma=90.00
Closest atoms and distances in Å follow each position.
Element x y z (fractional)
Al: 0.0000 0.0000 0.0000  8 Se 3.07
Pb: 0.5000 0.5000 0.0000  8 Se 3.07
Se: 0.0000 0.5000 0.5000  4 Pb 3.07, 4 Al 3.07
Se: 0.5000 0.0000 0.5000  4 Pb 3.07, 4 Al 3.07



No. 2
First-principles (GGA-PBEsol) data for an optimized crystal structure of HfTlPb3, as listed in Alexandria.

## Properties
D(E_F): 5.03 states/eV/f.u.
Final energy: -3.8228 eV per atom
Formation energy from the elements: 1.203 eV/atom

Unit cell a=5.5874 b=5.5874 c=5.5874 alpha=90.00 beta=90.00 gamma=90.00
Closest atoms and distances in Å follow each position.
Element x y z (fractional)
Hf: 0.0000 0.0000 0.0000  12 Pb 3.95
Tl: 0.5000 0.5000 0.5000  6 Pb 2.79
Pb: 0.0000 0.5000 0.5000  2 Tl 2.79
Pb: 0.5000 0.0000 0.5000  2 Tl 2.79
Pb: 0.5000 0.5000 0.0000  2 Tl 2.79



No. 3
First-principles (GGA-PBEsol) data for an optimized crystal structure of BaGa3Os, as listed in Alexandria.

## Properties
D(E_F): 2.00 states/eV/f.u.
Final energy: -5.2793 eV per atom
Formation energy from the elements: -0.402 eV/atom

Unit cell a=4.8215 b=4.8215 c=4.8215 alpha=90.00 beta=90.00 gamma=90.00
Closest atoms and distances in Å follow each position.
Element x y z (fractional)
Ba: 0.0000 0.0000 0.0000  12 Ga 3.41
Ga: 0.0000 0.5000 0.5000  2 Os 2.41
Ga: 0.5000 0.0000 0.5000  2 Os 2.41
Ga: 0.5000 0.5000 0.0000  2 Os 2.41
Os: 0.5000 0.5000 0.5000  6 Ga 2.41



No. 4
First-principles (GGA-PBEsol) data for an optimized crystal structure of Ba3NbZn, as listed in Alexandria.

## Properties
D(E_F): 4.23 states/eV/f.u.
Final energy: -2.8431 eV per atom
Formation energy from the elements: 0.927 eV/atom

Unit cell a=6.1337 b=6.1337 c=6.1337 alpha=90.00 beta=90.00 gamma=90.00
Closest atoms and distances in Å follow each position.
Element x y z (fractional)
Ba: 0.0000 0.0000 0.5000  2 Zn 3.07
Ba: 0.0000 0.5000 0.0000  2 Zn 3.07
Ba: 0.5000 0.0000 0.0000  2 Zn 3.07
Nb: 0.5000 0.5000 0.5000  12 Ba 4.34
Zn: 0.0000 0.0000 0.0000  6 Ba 3.07



No. 5
First-principles (GGA-PBEsol) data for an optimized crystal structure of IrBrCl2, as listed in Alexandria.

## Properties
D(E_F): 2.80 states/eV/f.u.
Final energy: -3.2547 eV per atom
Uncorrected formation energy: 673 meV per atom
ΔE to the lowest computed polymorph: 569 meV per atom

Unit cell a=3.1363 b=3.1363 c=7.7912 alpha=90.00 beta=90.00 gamma=90.00
Closest atoms and distances in Å follow each position.
Element x y z (fractional)
Ir: 0.0000 0.0000 0.0000  4 Br 2.65, 4 Cl 2.71
Br: 0.5000 0.5000 0.8148  4 Ir 2.65
Cl: 0.0000 0.0000 0.5495  4 Br 3.03, 4 Cl 3.14
Cl: 0.5000 0.5000 0.2004  4 Ir 2.71, 1 Br 3.00



No. 6
First-principles (GGA-PBEsol) data for an optimized crystal structure of Ti3CuF, as listed in Alexandria.

## Properties
D(E_F): 6.50 states/eV/f.u.
Final energy: -6.7450 eV per atom
Uncorrected formation energy: -499 meV per atom

Unit cell a=4.0775 b=4.0775 c=4.0775 alpha=90.00 beta=90.00 gamma=90.00
Closest atoms and distances in Å follow each position.
Element x y z (fractional)
Ti: 0.0000 0.0000 0.5000  2 F 2.04
Ti: 0.0000 0.5000 0.0000  2 F 2.04
Ti: 0.5000 0.0000 0.0000  2 F 2.04
Cu: 0.5000 0.5000 0.5000  12 Ti 2.88
F: 0.0000 0.0000 0.0000  6 Ti 2.04



No. 7
First-principles (GGA-PBEsol) data for an optimized crystal structure of TaNiSb, as listed in Alexandria.

## Properties
D(E_F): 2.49 states/eV/f.u.
Final energy: -7.5685 eV per atom
Uncorrected formation energy: 187 meV per atom

Unit cell a=3.0316 b=3.0316 c=6.4184 alpha=90.00 beta=90.00 gamma=120.00
Closest atoms and distances in Å follow each position.
Element x y z (fractional)
Ta: 0.0000 0.0000 0.0000  3 Ni 2.60
Ni: 0.3333 0.6667 0.7003  3 Ta 2.60, 3 Sb 2.72
Sb: 0.6667 0.3333 0.3759  3 Ni 2.72, 3 Ta 2.98, 6 Sb 3.03



No. 8
First-principles (GGA-PBEsol) data for an optimized crystal structure of Ca2HgPdCl, as listed in Alexandria.

## Properties
D(E_F): 2.00 states/eV/f.u.
Final energy: -3.1570 eV per atom
Uncorrected formation energy: -597 meV per atom

Unit cell a=5.2294 b=5.2294 c=4.5222 alpha=90.00 beta=90.00 gamma=90.00
Closest atoms and distances in Å follow each position.
Element x y z (fractional)
Ca: 0.0000 0.5000 0.0000  2 Cl 2.61
Ca: 0.5000 0.0000 0.0000  2 Cl 2.61
Hg: 0.0000 0.0000 0.5000  8 Ca 3.46, 4 Pd 3.70
Pd: 0.5000 0.5000 0.5000  2 Cl 2.26
Cl: 0.5000 0.5000 0.0000  2 Pd 2.26



No. 9
First-principles (GGA-PBEsol) data for an optimized crystal structure of La2CuRu, as listed in Alexandria.

## Properties
D(E_F): 3.09 states/eV/f.u.
Final energy: -6.3951 eV per atom
Formation energy from the elements: -0.095 eV/atom

Unit cell a=3.4611 b=3.4613 c=7.4163 alpha=90.00 beta=90.11 gamma=90.00
Closest atoms and distances in Å follow each position.
Element x y z (fractional)
La: 0.0012 0.0000 0.2621  4 Ru 3.01-3.02, 4 Cu 3.13
La: 0.9988 0.0000 0.7379  4 Ru 3.01-3.02, 4 Cu 3.13
Cu: 0.5000 0.5000 0.0000  8 La 3.13, 4 Cu 3.46
Ru: 0.5000 0.5000 0.5000  8 La 3.01-3.02



No. 10
First-principles (GGA-PBEsol) data for an optimized crystal structure of TbSbPd, as listed in Alexandria.

## Properties
D(E_F): 0.64 states/eV/f.u.
Final energy: -6.2361 eV per atom
Uncorrected formation energy: -1061 meV per atom

Unit cell a=4.4684 b=4.4684 c=15.3060 alpha=90.00 beta=90.00 gamma=120.00
Closest atoms and distances in Å follow each position.
Element x y z (fractional)
Tb: 0.0000 0.0000 0.0000  6 Sb 3.12, 6 Pd 3.42
Tb: 0.0000 0.0000 0.2500  6 Pd 3.03, 6 Sb 3.31
Tb: 0.0000 0.0000 0.5000  6 Sb 3.12, 6 Pd 3.42
Tb: 0.0000 0.0000 0.7500  6 Pd 3.03, 6 Sb 3.31
Sb: 0.3333 0.6667 0.1150  3 Pd 2.62
Sb: 0.3333 0.6667 0.3850  3 Pd 2.62
Sb: 0.6667 0.3333 0.6150  3 Pd 2.62
Sb: 0.6667 0.3333 0.8850  3 Pd 2.62
Pd: 0.3333 0.6667 0.6464  3 Sb 2.62
Pd: 0.3333 0.6667 0.8536  3 Sb 2.62
Pd: 0.6667 0.3333 0.1464  3 Sb 2.62
Pd: 0.6667 0.3333 0.3536  3 Sb 2.62



No. 11
First-principles (GGA-PBEsol) data for an optimized crystal structure of MnCr2GePt, as listed in Alexandria.

## Properties
D(E_F): 4.83 states/eV/f.u.
Final energy: -7.4670 eV per atom
Formation energy from the elements: 0.963 eV/atom

Unit cell a=4.1531 b=4.1531 c=4.6958 alpha=90.00 beta=90.00 gamma=90.00
Closest atoms and distances in Å follow each position.
Element x y z (fractional)
Mn: 0.0000 0.0000 0.0000  4 Cr 2.08
Cr: 0.0000 0.5000 0.0000  2 Mn 2.08
Cr: 0.5000 0.0000 0.0000  2 Mn 2.08
Ge: 0.5000 0.5000 0.5000  4 Pt 2.94, 8 Cr 3.13
Pt: 0.0000 0.0000 0.5000  2 Mn 2.35



No. 12
First-principles (GGA-PBEsol) data for an optimized crystal structure of Rb3BeAs, as listed in Alexandria.

## Properties
D(E_F): 5.19 states/eV/f.u.
Final energy: -1.6691 eV per atom
Formation energy from the elements: 0.767 eV/atom

Unit cell a=6.0970 b=6.0970 c=6.0970 alpha=90.00 beta=90.00 gamma=90.00
Closest atoms and distances in Å follow each position.
Element x y z (fractional)
Rb: 0.0000 0.0000 0.5000  2 Be 3.05
Rb: 0.0000 0.5000 0.0000  2 Be 3.05
Rb: 0.5000 0.0000 0.0000  2 Be 3.05
Be: 0.0000 0.0000 0.0000  6 Rb 3.05
As: 0.5000 0.5000 0.5000  12 Rb 4.31



No. 13
First-principles (GGA-PBEsol) data for an optimized crystal structure of TaBe4Hg, as listed in Alexandria.

## Properties
D(E_F): 3.71 states/eV/f.u.
Final energy: -4.6055 eV per atom
Formation energy from the elements: 0.248 eV/atom

Unit cell a=4.6255 b=4.6255 c=4.6255 alpha=60.00 beta=60.00 gamma=60.00
Closest atoms and distances in Å follow each position.
Element x y z (fractional)
Ta: 0.0000 0.0000 0.0000  12 Be 2.70, 4 Hg 2.83
Be: 0.3686 0.3686 0.3686  6 Be 2.19-2.43
Be: 0.3686 0.3686 0.8943  6 Be 2.19-2.43
Be: 0.3686 0.8943 0.3686  6 Be 2.19-2.43
Be: 0.8943 0.3686 0.3686  6 Be 2.19-2.43
Hg: 0.7500 0.7500 0.7500  12 Be 2.73, 4 Ta 2.83